(1)
Zr3TcPt | meta-GGA SCAN | single point on PBEsol structure

Calculated values
DFT formation energy: 352 meV/atom

Cell lengths 4.8316, 4.8316, 4.8316 Å; angles 90.00, 90.00, 90.00 degrees
With the nearest neighbours (Å) after each atom.
Positions (direct):
Zr: 0.0000 0.5000 0.0000  2 Tc 2.42
Zr: 0.0000 0.0000 0.5000  2 Tc 2.42
Zr: 0.5000 0.0000 0.0000  2 Tc 2.42
Tc: 0.0000 0.0000 0.0000  6 Zr 2.42
Pt: 0.5000 0.5000 0.5000  12 Zr 3.42

=====

(2)
LaTlCd2 | meta-GGA SCAN | single point on PBEsol structure

Calculated values
DFT formation energy: -381 meV/atom

Cell lengths 5.2152, 5.2140, 5.2140 Å; angles 60.01, 59.99, 59.99 degrees
With the nearest neighbours (Å) after each atom.
Positions (direct):
Tl: 0.2500 0.2500 0.2500  4 Cd 3.19, 4 La 3.19
La: 0.5000 0.5000 0.5000  4 Tl 3.19, 4 Cd 3.19
Cd: 0.9999 0.0001 0.0001  4 Cd 3.19, 4 Tl 3.19
Cd: 0.7500 0.7500 0.7500  4 Cd 3.19, 4 La 3.19

=====

(3)
Mg4NiP | meta-GGA SCAN | single point on PBEsol structure

Calculated values
DFT formation energy: 487 meV/atom

Cell lengths 5.4043, 5.4043, 5.4043 Å; angles 60.00, 60.00, 60.00 degrees
With the nearest neighbours (Å) after each atom.
Positions (direct):
Mg: 0.3752 0.3752 0.3752  6 Mg 2.70-2.71
Mg: 0.3752 0.3752 0.8745  6 Mg 2.70-2.71
Mg: 0.8745 0.3752 0.3752  6 Mg 2.70-2.71
Mg: 0.3752 0.8745 0.3752  6 Mg 2.70-2.71
Ni: 0.7500 0.7500 0.7500  12 Mg 3.17, 4 P 3.31
P: 0.0000 0.0000 0.0000  12 Mg 3.17, 4 Ni 3.31

=====

(4)
LaInRh4 | meta-GGA SCAN | single point on PBEsol structure

Calculated values
DFT formation energy: -438 meV/atom

Cell lengths 5.2795, 5.2795, 5.2795 Å; angles 60.00, 60.00, 60.00 degrees
With the nearest neighbours (Å) after each atom.
Positions (direct):
In: 0.2500 0.2500 0.2500  12 Rh 3.09, 4 La 3.23
La: 0.0000 0.0000 0.0000  12 Rh 3.10, 4 In 3.23
Rh: 0.6241 0.6241 0.6241  6 Rh 2.62-2.66
Rh: 0.6241 0.1278 0.6241  6 Rh 2.62-2.66
Rh: 0.1278 0.6241 0.6241  6 Rh 2.62-2.66
Rh: 0.6241 0.6241 0.1278  6 Rh 2.62-2.66

=====

(5)
Sr2YNi | meta-GGA SCAN | single point on PBEsol structure

Calculated values
DFT formation energy: 526 meV/atom

Cell lengths 4.5389, 4.5389, 6.3870 Å; angles 110.81, 110.81, 90.00 degrees
With the nearest neighbours (Å) after each atom.
Positions (direct):
Ni: 0.0000 0.0000 0.0000  4 Y 3.21, 8 Sr 3.57
Sr: 0.7500 0.2500 0.5000  4 Sr 3.21, 4 Ni 3.57, 4 Y 3.57
Sr: 0.2500 0.7500 0.5000  4 Sr 3.21, 4 Ni 3.57, 4 Y 3.57
Y: 0.5000 0.5000 0.0000  4 Ni 3.21, 8 Sr 3.57

=====

(6)
Co2TcPt | meta-GGA SCAN | single point on PBEsol structure

Calculated values
DFT formation energy: 61 meV/atom

Cell lengths 2.6108, 4.4047, 4.6166 Å; angles 99.30, 90.00, 107.24 degrees
With the nearest neighbours (Å) after each atom.
Positions (direct):
Co: 0.7513 0.5027 0.7723  4 Co 2.48-2.61, 3 Tc 2.52-2.54, 3 Pt 2.62
Co: 0.2487 0.4973 0.2277  4 Co 2.48-2.61, 3 Tc 2.52-2.54, 3 Pt 2.62
Tc: 0.5000 0.0000 0.0000  6 Co 2.52-2.54, 2 Tc 2.61, 4 Pt 2.65
Pt: 0.0000 0.0000 0.5000  2 Pt 2.61, 6 Co 2.62, 4 Tc 2.65

=====

(7)
LiAs2Cl | meta-GGA SCAN | single point on PBEsol structure

Calculated values
ΔE_f (raw): -136 meV/atom

Cell lengths 4.7008, 4.7008, 4.7008 Å; angles 60.00, 60.00, 60.00 degrees
With the nearest neighbours (Å) after each atom.
Positions (direct):
As: 0.0000 0.0000 0.0000  4 Li 2.88, 4 As 2.88
As: 0.2500 0.2500 0.2500  4 Cl 2.88, 4 As 2.88
Cl: 0.5000 0.5000 0.5000  4 As 2.88, 4 Li 2.88
Li: 0.7500 0.7500 0.7500  4 As 2.88, 4 Cl 2.88

=====

(8)
MnNiIr2 | meta-GGA SCAN | single point on PBEsol structure

Calculated values
DFT formation energy: -263 meV/atom

Cell lengths 2.6811, 4.4401, 4.5862 Å; angles 109.82, 90.00, 90.00 degrees
With the nearest neighbours (Å) after each atom.
Positions (direct):
Ir: 0.0000 0.0000 0.0000  4 Mn 2.59, 2 Ni 2.60, 6 Ir 2.66-2.68
Ir: 0.5000 0.0000 0.5000  4 Ni 2.59, 2 Mn 2.60, 6 Ir 2.66-2.68
Mn: 0.5000 0.5000 0.0000  6 Ir 2.59-2.60, 4 Ni 2.66, 2 Mn 2.68
Ni: 0.0000 0.5000 0.5000  6 Ir 2.59-2.60, 4 Mn 2.66, 2 Ni 2.68

=====

Which formula does entry 2 have?
LaTlCd2

=====

What is the formula in the second record?
LaTlCd2